This record from the Alexandria database describes PrTmMgMn after structural relaxation. The functional is GGA-PBE.

Results
**ρ**: 6.3 g/cm3
**Formation energy from the elements**: 11 kJ/mol of atoms

Unit cell a=5.249 b=5.249 c=5.249 alpha=60.00 beta=60.00 gamma=60.00
Each line ends with the local moment (μB).
Fractional coordinates of all 4 atoms:
1 Tm 0.250 0.250 0.250  -0.28
2 Pr 0.750 0.750 0.750  -0.17
3 Mn 0.500 0.500 0.500  3.67
4 Mg 0.000 0.000 0.000  -0.01